Record 1
LiYCdS3 | PBE | optimized geometry

Computed properties:
**Magnetic moment**: 0.01 Bohr magnetons per cell
**Symmetry**: Cmcm
**Energy**: -58.2 eV/cell

a = 6.563 Å, b = 6.563 Å, c = 10.861 Å
α = 90.00°, β = 90.00°, γ = 145.00°
Positions (direct):
Li  0.241  0.759  0.750
Li  0.759  0.241  0.250
Y  0.500  0.500  0.000
Y  0.500  0.500  0.500
Cd  0.030  0.970  0.250
Cd  0.970  0.030  0.750
S  0.141  0.859  0.063
S  0.141  0.859  0.437
S  0.400  0.600  0.250
S  0.600  0.400  0.750
S  0.859  0.141  0.563
S  0.859  0.141  0.937


Record 2
BaLaSi3Au | PBE | optimized geometry

Computed properties:
**Magnetic moment**: 0.02 Bohr magnetons per cell
**Symmetry**: Fmmm
**Energy**: -60.4 eV/cell

a = 8.713 Å, b = 8.451 Å, c = 6.354 Å
α = 70.48°, β = 66.10°, γ = 43.42°
Positions (direct):
Ba  0.248  0.752  0.248
Ba  0.752  0.248  0.752
La  0.250  0.250  0.250
La  0.750  0.750  0.750
Si  0.161  0.670  0.839
Si  0.165  0.165  0.835
Si  0.330  0.839  0.670
Si  0.670  0.161  0.330
Si  0.835  0.835  0.165
Si  0.839  0.330  0.161
Au  0.331  0.331  0.669
Au  0.669  0.669  0.331